Entry 1:
Here is an optimized crystal structure of DyUTe4 from Alexandria. Energies are from PBE.

Values from the calculation:
- formation energy from raw total energies (kJ/mol of atoms) = -90.51
- distance to the lowest polymorph of the same formula (meV per atom) = 0

Geometry as POSCAR:
```
DyUTe4
1.0
-2.094 3.071 7.060
2.094 -3.071 7.060
2.094 3.071 -7.060
Dy U Te
1 1 4
Direct
0.000 0.000 0.000
0.274 0.274 0.000
0.389 0.640 0.749
0.432 0.932 0.500
0.841 0.341 0.500
0.892 0.640 0.251
```

Entry 2:
Here is an optimized crystal structure of HfAsP2Cl from Alexandria. Energies are from PBE.

Values from the calculation:
- formation energy from raw total energies (kJ/mol of atoms) = 55.75
- distance to the lowest polymorph of the same formula (meV per atom) = 396

Geometry as POSCAR:
```
HfAsP2Cl
1.0
4.726 0.000 0.000
0.000 4.726 0.000
0.000 0.000 4.597
Hf As P Cl
1 1 2 1
Direct
0.000 0.000 0.000
0.500 0.500 0.500
0.000 0.500 0.500
0.500 0.000 0.500
0.500 0.500 0.000
```

Entry 3:
Here is an optimized crystal structure of SiSbSN2 from Alexandria. Energies are from PBE.

Values from the calculation:
- formation energy from raw total energies (kJ/mol of atoms) = 124.58

Geometry as POSCAR:
```
SiSbSN2
1.0
3.979 0.000 0.000
0.000 3.979 0.000
0.000 0.000 5.221
Si Sb S N
1 1 1 2
Direct
0.000 0.000 0.000
0.500 0.500 0.500
0.500 0.500 0.000
0.000 0.500 0.500
0.500 0.000 0.500
```

Entry 4:
Here is an optimized crystal structure of LuInGe from Alexandria. Energies are from PBE.

Values from the calculation:
- energy of formation from the pure elements (kcal/mol of atoms) = -7.8

Geometry as POSCAR:
```
LuInGe
1.0
4.242 0.000 0.000
-2.121 3.674 0.000
0.000 0.000 4.720
Lu In Ge
1 1 1
Direct
0.000 0.000 0.000
0.333 0.667 0.431
0.667 0.333 0.697
```

no.,energy (eV per atom)
1,-5.68
2,-4.88
3,-4.77
4,-4.30